1.
InAg10 after structural relaxation. Source: OQMD, functional PBE-GGA.

Summary:
The calculated total energy is -2.753 eV/atom. The calculation puts the theoretical density at 7.01 g cm⁻³.

Cell: 4.9740 4.9740 30.8907 Å, 90.36 90.36 47.73°
Closest atoms and distances in Å follow each position.
Atoms (fractional coordinates):
Ag1 0.2568 0.2568 0.7677  11 Ag 2.85-3.01, 1 In 3.16
Ag2 0.1514 0.1514 0.9846  12 Ag 2.85-3.02
Ag3 0.6466 0.6466 0.1388  12 Ag 2.86-3.01
Ag4 0.5489 0.5489 0.0458  12 Ag 2.87-3.00
Ag5 0.3534 0.3534 0.8612  12 Ag 2.86-3.01
Ag6 0.7501 0.7501 0.9219  12 Ag 2.86-3.02
Ag7 0.2499 0.2499 0.0781  12 Ag 2.86-3.02
Ag8 0.0512 0.0512 0.8918  12 Ag 2.86-3.02
Ag9 0.8486 0.8486 0.0154  12 Ag 2.85-3.02
Ag10 0.7432 0.7432 0.2323  11 Ag 2.85-3.01, 1 In 3.16
Ag11 0.3467 0.3467 0.1707  12 Ag 2.87-3.01
Ag12 0.5558 0.5558 0.7360  9 Ag 2.89-3.01, 2 In 3.01
Ag13 0.9539 0.9539 0.7983  12 Ag 2.85-3.09
Ag14 0.0461 0.0461 0.2017  12 Ag 2.85-3.09
Ag15 0.6533 0.6533 0.8293  12 Ag 2.87-3.01
Ag16 0.4442 0.4442 0.2640  9 Ag 2.89-3.01, 2 In 3.01
Ag17 0.4511 0.4511 0.9542  12 Ag 2.87-3.00
Ag18 0.8573 0.8573 0.7023  3 In 2.89-2.91, 6 Ag 2.89-3.09
Ag19 0.9488 0.9488 0.1082  12 Ag 2.86-3.02
Ag20 0.1427 0.1427 0.2977  3 In 2.89-2.91, 6 Ag 2.89-3.09
In1 0.1539 0.1539 0.6696  6 Ag 2.89-3.16
In2 0.8461 0.8461 0.3304  6 Ag 2.89-3.16

2.
NiSe2 after structural relaxation. Source: OQMD, functional PBE-GGA.

Summary:
The value obtained for the magnetic moment is 0.01 μB per formula unit. The calculated total energy is -3.531 eV/atom. The calculation puts the theoretical density at 6.89 g cm⁻³.

Cell: 2.7157 4.7070 4.7070 Å, 119.79 90.00 90.00°
Closest atoms and distances in Å follow each position.
Atoms (fractional coordinates):
Se1 0.5000 0.6671 0.3329  5 Se 2.72, 2 Ni 3.03
Se2 0.5000 0.3329 0.6671  5 Se 2.72, 2 Ni 3.03
Ni1 0.0000 0.9998 0.9998  2 Ni 2.72, 4 Se 3.03

3.
BeFeBiPd after structural relaxation. Source: OQMD, functional PBE-GGA.

Summary:
The value obtained for the magnetic moment is 2.07 μB per formula unit. The calculated total energy is -5.023 eV/atom. The calculation puts the theoretical density at 10.07 g cm⁻³.

Cell: 4.4595 4.4595 4.4595 Å, 60.00 60.00 60.00°
Closest atoms and distances in Å follow each position.
Atoms (fractional coordinates):
Fe1 0.7500 0.7500 0.7500  4 Be 2.73, 4 Bi 2.73
Bi1 0.0000 0.0000 0.0000  4 Fe 2.73, 4 Pd 2.73
Pd1 0.2500 0.2500 0.2500  4 Be 2.73, 4 Bi 2.73
Be1 0.5000 0.5000 0.5000  4 Fe 2.73, 4 Pd 2.73

4.
HfCoBi after structural relaxation. Source: OQMD, functional PBE-GGA.

Summary:
The value obtained for the magnetic moment is 0.52 μB per formula unit. The calculated total energy is -6.946 eV/atom. The calculation puts the theoretical density at 13.09 g cm⁻³.

Cell: 6.7799 6.7799 4.2668 Å, 90.00 90.00 120.00°
Closest atoms and distances in Å follow each position.
Atoms (fractional coordinates):
Hf1 0.5614 0.0000 0.5000  5 Bi 2.92-2.97, 2 Co 3.02
Hf2 0.4386 0.4386 0.5000  5 Bi 2.92-2.97, 2 Co 3.02
Hf3 0.0000 0.5614 0.5000  5 Bi 2.92-2.97, 2 Co 3.02
Bi1 0.6667 0.3333 0.0000  3 Co 2.60
Bi2 0.0000 0.0000 0.5000  6 Co 2.71, 3 Hf 2.97
Bi3 0.3333 0.6667 0.0000  3 Co 2.60
Co1 0.7532 0.7532 0.0000  4 Bi 2.60-2.71, 2 Co 2.90
Co2 0.2468 0.0000 0.0000  4 Bi 2.60-2.71, 2 Co 2.90
Co3 0.0000 0.2468 0.0000  4 Bi 2.60-2.71, 2 Co 2.90